1.
Crystalline ZrZnAs2 at its relaxed geometry, computed with PBE. Values from VASP.

Cell and atoms, written as Quantum ESPRESSO input:
```
&SYSTEM
  ibrav = 0, nat = 4, ntyp = 3
/
ATOMIC_SPECIES
Zn 65.41 Zn.upf
As 74.92 As.upf
Zr 91.22 Zr.upf
ATOMIC_POSITIONS crystal
Zn 0.500 0.500 0.250
As 0.000 0.000 0.508
As 0.000 0.000 0.992
Zr 0.500 0.500 0.750
CELL_PARAMETERS angstrom
-0.348 3.124 -0.470
-2.920 -1.067 0.662
1.291 1.319 7.813
```



2.
Crystalline ZrZn2As2 at its relaxed geometry, computed with PBE. Values from VASP.

Cell and atoms, written as Quantum ESPRESSO input:
```
&SYSTEM
  ibrav = 0, nat = 10, ntyp = 3
/
ATOMIC_SPECIES
Zr 91.22 Zr.upf
Zn 65.41 Zn.upf
As 74.92 As.upf
ATOMIC_POSITIONS crystal
Zr 0.000 0.000 0.000
Zr 0.500 0.500 0.000
Zn 0.653 0.847 0.500
Zn 0.847 0.347 0.500
Zn 0.347 0.153 0.500
Zn 0.153 0.653 0.500
As 0.848 0.652 0.000
As 0.652 0.152 0.000
As 0.152 0.348 0.000
As 0.348 0.848 0.000
CELL_PARAMETERS angstrom
7.113 0.000 0.000
0.000 7.113 0.000
0.000 0.000 3.651
```



3.
Crystalline ZrZnAs3 at its relaxed geometry, computed with PBE. Values from VASP.

Cell and atoms, written as Quantum ESPRESSO input:
```
&SYSTEM
  ibrav = 0, nat = 5, ntyp = 3
/
ATOMIC_SPECIES
Zn 65.41 Zn.upf
As 74.92 As.upf
Zr 91.22 Zr.upf
ATOMIC_POSITIONS crystal
Zn 0.000 0.000 0.000
As 0.500 0.000 0.000
As 0.000 0.000 0.500
As 0.000 0.500 0.000
Zr 0.500 0.500 0.500
CELL_PARAMETERS angstrom
4.766 0.000 0.000
0.000 4.766 0.000
0.000 0.000 4.766
```



4.
Crystalline Zr4ZnAs at its relaxed geometry, computed with PBE. Values from VASP.

Cell and atoms, written as Quantum ESPRESSO input:
```
&SYSTEM
  ibrav = 0, nat = 12, ntyp = 3
/
ATOMIC_SPECIES
Zr 91.22 Zr.upf
Zn 65.41 Zn.upf
As 74.92 As.upf
ATOMIC_POSITIONS crystal
Zr 0.000 0.653 0.844
Zr 0.500 0.156 0.347
Zr 0.500 0.844 0.653
Zr 0.500 0.653 0.156
Zr 0.000 0.156 0.653
Zr 0.000 0.347 0.156
Zr 0.500 0.347 0.844
Zr 0.000 0.844 0.347
Zn 0.750 0.000 0.000
Zn 0.250 0.000 0.000
As 0.250 0.500 0.500
As 0.750 0.500 0.500
CELL_PARAMETERS angstrom
5.491 0.000 0.000
0.000 6.636 0.000
0.000 0.000 6.636
```



5.
Crystalline ZrZnAs2 at its relaxed geometry, computed with PBE. Values from VASP.

Cell and atoms, written as Quantum ESPRESSO input:
```
&SYSTEM
  ibrav = 0, nat = 4, ntyp = 3
/
ATOMIC_SPECIES
As 74.92 As.upf
Zr 91.22 Zr.upf
Zn 65.41 Zn.upf
ATOMIC_POSITIONS crystal
As 0.000 0.078 0.920
As 0.500 0.175 0.327
Zr 0.500 0.700 0.797
Zn 0.000 0.546 0.455
CELL_PARAMETERS angstrom
3.746 0.000 0.000
0.000 3.759 -0.014
0.000 3.746 5.590
```



6.
Crystalline Zr3ZnAs at its relaxed geometry, computed with PBE. Values from VASP.

Cell and atoms, written as Quantum ESPRESSO input:
```
&SYSTEM
  ibrav = 0, nat = 5, ntyp = 3
/
ATOMIC_SPECIES
Zr 91.22 Zr.upf
As 74.92 As.upf
Zn 65.41 Zn.upf
ATOMIC_POSITIONS crystal
Zr 0.000 0.500 0.000
Zr 0.000 0.000 0.500
Zr 0.500 0.000 0.000
As 0.000 0.000 0.000
Zn 0.500 0.500 0.500
CELL_PARAMETERS angstrom
-0.151 4.923 -0.813
-3.550 0.466 3.479
3.507 0.684 3.487
```



7.
Crystalline ZrZn4As at its relaxed geometry, computed with PBE. Values from VASP.

Cell and atoms, written as Quantum ESPRESSO input:
```
&SYSTEM
  ibrav = 0, nat = 6, ntyp = 3
/
ATOMIC_SPECIES
Zn 65.41 Zn.upf
Zr 91.22 Zr.upf
As 74.92 As.upf
ATOMIC_POSITIONS crystal
Zn 0.874 0.375 0.375
Zn 0.375 0.375 0.874
Zn 0.375 0.874 0.375
Zn 0.375 0.375 0.375
Zr 0.750 0.750 0.750
As 0.000 0.000 0.000
CELL_PARAMETERS angstrom
0.000 3.701 3.701
3.701 0.000 3.701
3.701 3.701 0.000
```



8.
Crystalline ZrZn2As2 at its relaxed geometry, computed with PBE. Values from VASP.

Cell and atoms, written as Quantum ESPRESSO input:
```
&SYSTEM
  ibrav = 0, nat = 5, ntyp = 3
/
ATOMIC_SPECIES
As 74.92 As.upf
Zn 65.41 Zn.upf
Zr 91.22 Zr.upf
ATOMIC_POSITIONS crystal
As 0.409 0.409 0.183
As 0.591 0.591 0.817
Zn 0.250 0.750 0.500
Zn 0.750 0.250 0.500
Zr 0.000 0.000 0.000
CELL_PARAMETERS angstrom
3.614 0.000 0.000
0.000 3.614 0.000
1.807 1.807 7.348
```



9.
Crystalline ZrZnAs2 at its relaxed geometry, computed with PBE. Values from VASP.

Cell and atoms, written as Quantum ESPRESSO input:
```
&SYSTEM
  ibrav = 0, nat = 4, ntyp = 3
/
ATOMIC_SPECIES
As 74.92 As.upf
Zn 65.41 Zn.upf
Zr 91.22 Zr.upf
ATOMIC_POSITIONS crystal
As 0.015 0.015 0.015
As 0.230 0.230 0.230
Zn 0.500 0.500 0.500
Zr 0.756 0.756 0.756
CELL_PARAMETERS angstrom
-7.168 -6.094 4.671
-8.081 -6.477 1.757
-5.835 -8.236 2.910
```



10.
Crystalline ZrAs3 at its relaxed geometry, computed with PBE. Values from VASP.

Cell and atoms, written as Quantum ESPRESSO input:
```
&SYSTEM
  ibrav = 0, nat = 8, ntyp = 2
/
ATOMIC_SPECIES
As 74.92 As.upf
Zr 91.22 Zr.upf
ATOMIC_POSITIONS crystal
As 0.819 0.639 0.250
As 0.639 0.819 0.750
As 0.181 0.819 0.750
As 0.819 0.181 0.250
As 0.361 0.181 0.250
As 0.181 0.361 0.750
Zr 0.667 0.333 0.750
Zr 0.333 0.667 0.250
CELL_PARAMETERS angstrom
2.953 -5.115 0.000
2.953 5.115 0.000
0.000 0.000 5.199
```



11.
Crystalline ZrAs2 at its relaxed geometry, computed with PBE. Values from VASP.

Cell and atoms, written as Quantum ESPRESSO input:
```
&SYSTEM
  ibrav = 0, nat = 12, ntyp = 2
/
ATOMIC_SPECIES
As 74.92 As.upf
Zr 91.22 Zr.upf
ATOMIC_POSITIONS crystal
As 0.250 0.918 0.854
As 0.750 0.082 0.146
As 0.250 0.880 0.458
As 0.750 0.120 0.542
As 0.250 0.380 0.042
As 0.250 0.418 0.646
As 0.750 0.582 0.354
As 0.750 0.620 0.958
Zr 0.250 0.271 0.337
Zr 0.250 0.771 0.163
Zr 0.750 0.229 0.837
Zr 0.750 0.729 0.663
CELL_PARAMETERS angstrom
3.725 0.000 0.000
0.000 6.858 0.000
0.000 0.000 9.136
```



12.
Crystalline ZrAs2 at its relaxed geometry, computed with PBE. Values from VASP.

Cell and atoms, written as Quantum ESPRESSO input:
```
&SYSTEM
  ibrav = 0, nat = 6, ntyp = 2
/
ATOMIC_SPECIES
Zr 91.22 Zr.upf
As 74.92 As.upf
ATOMIC_POSITIONS crystal
Zr 0.500 0.500 0.500
Zr 0.750 0.750 0.750
As 0.625 0.125 0.125
As 0.125 0.125 0.125
As 0.125 0.125 0.625
As 0.125 0.625 0.125
CELL_PARAMETERS angstrom
0.000 3.903 3.903
3.903 0.000 3.903
3.903 3.903 0.000
```



13.
Crystalline ZrAs2 at its relaxed geometry, computed with PBE. Values from VASP.

Cell and atoms, written as Quantum ESPRESSO input:
```
&SYSTEM
  ibrav = 0, nat = 6, ntyp = 2
/
ATOMIC_SPECIES
As 74.92 As.upf
Zr 91.22 Zr.upf
ATOMIC_POSITIONS crystal
As 0.311 0.811 0.500
As 0.439 0.439 0.000
As 0.189 0.689 0.500
As 0.561 0.561 0.000
Zr 0.000 0.000 0.000
Zr 0.750 0.250 0.500
CELL_PARAMETERS angstrom
3.780 -10.260 -0.689
5.478 -8.686 3.818
-6.748 8.618 -0.468
```



14.
Crystalline Zr2As at its relaxed geometry, computed with PBE. Values from VASP.

Cell and atoms, written as Quantum ESPRESSO input:
```
&SYSTEM
  ibrav = 0, nat = 6, ntyp = 2
/
ATOMIC_SPECIES
Zr 91.22 Zr.upf
As 74.92 As.upf
ATOMIC_POSITIONS crystal
Zr 0.000 0.000 0.500
Zr 0.667 0.333 0.250
Zr 0.333 0.667 0.750
Zr 0.000 0.000 0.000
As 0.667 0.333 0.750
As 0.333 0.667 0.250
CELL_PARAMETERS angstrom
0.802 4.653 1.255
-3.200 -1.060 -3.537
-4.154 -0.324 3.855
```



15.
Crystalline Zr7As at its relaxed geometry, computed with PBE. Values from VASP.

Cell and atoms, written as Quantum ESPRESSO input:
```
&SYSTEM
  ibrav = 0, nat = 8, ntyp = 2
/
ATOMIC_SPECIES
Zr 91.22 Zr.upf
As 74.92 As.upf
ATOMIC_POSITIONS crystal
Zr 0.000 0.500 0.000
Zr 0.500 0.500 0.500
Zr 0.500 0.000 0.000
Zr 0.500 0.000 0.500
Zr 0.000 0.000 0.500
Zr 0.500 0.500 0.000
Zr 0.000 0.500 0.500
As 0.000 0.000 0.000
CELL_PARAMETERS angstrom
0.000 4.432 4.432
4.432 0.000 4.432
4.432 4.432 0.000
```



16.
Crystalline Zr2As at its relaxed geometry, computed with PBE. Values from VASP.

Cell and atoms, written as Quantum ESPRESSO input:
```
&SYSTEM
  ibrav = 0, nat = 9, ntyp = 2
/
ATOMIC_SPECIES
As 74.92 As.upf
Zr 91.22 Zr.upf
ATOMIC_POSITIONS crystal
As 0.000 0.000 0.500
As 0.667 0.333 0.000
As 0.333 0.667 0.000
Zr 0.591 0.000 0.500
Zr 0.000 0.591 0.500
Zr 0.409 0.409 0.500
Zr 0.744 0.744 0.000
Zr 0.256 0.000 0.000
Zr 0.000 0.256 0.000
CELL_PARAMETERS angstrom
7.362 0.000 0.000
-3.681 6.376 0.000
0.000 0.000 3.849
```



17.
Crystalline ZrAs3 at its relaxed geometry, computed with PBE. Values from VASP.

Cell and atoms, written as Quantum ESPRESSO input:
```
&SYSTEM
  ibrav = 0, nat = 4, ntyp = 2
/
ATOMIC_SPECIES
As 74.92 As.upf
Zr 91.22 Zr.upf
ATOMIC_POSITIONS crystal
As 0.000 0.000 0.026
As 0.000 0.000 0.474
As 0.500 0.500 0.750
Zr 0.500 0.500 0.250
CELL_PARAMETERS angstrom
3.626 -0.089 0.000
0.089 3.626 0.000
0.000 0.000 5.876
```



18.
Crystalline ZrAs5 at its relaxed geometry, computed with PBE. Values from VASP.

Cell and atoms, written as Quantum ESPRESSO input:
```
&SYSTEM
  ibrav = 0, nat = 6, ntyp = 2
/
ATOMIC_SPECIES
As 74.92 As.upf
Zr 91.22 Zr.upf
ATOMIC_POSITIONS crystal
As 0.333 0.667 0.000
As 0.500 0.500 0.500
As 0.000 0.500 0.500
As 0.500 0.000 0.500
As 0.667 0.333 0.000
Zr 0.000 0.000 0.000
CELL_PARAMETERS angstrom
2.389 2.145 -4.204
-3.378 -4.019 -0.642
-3.893 3.353 -0.501
```



19.
Crystalline Zr3As5 at its relaxed geometry, computed with PBE. Values from VASP.

Cell and atoms, written as Quantum ESPRESSO input:
```
&SYSTEM
  ibrav = 0, nat = 16, ntyp = 2
/
ATOMIC_SPECIES
As 74.92 As.upf
Zr 91.22 Zr.upf
ATOMIC_POSITIONS crystal
As 0.667 0.333 0.500
As 0.734 0.734 0.250
As 0.333 0.667 0.000
As 0.000 0.734 0.750
As 0.000 0.266 0.250
As 0.266 0.266 0.750
As 0.266 0.000 0.250
As 0.667 0.333 0.000
As 0.734 0.000 0.750
As 0.333 0.667 0.500
Zr 0.625 0.625 0.750
Zr 0.375 0.375 0.250
Zr 0.000 0.625 0.250
Zr 0.000 0.375 0.750
Zr 0.375 0.000 0.750
Zr 0.625 0.000 0.250
CELL_PARAMETERS angstrom
-7.969 2.169 1.267
1.914 -5.640 -5.861
-0.492 -3.915 3.607
```



20.
Crystalline Zr2As at its relaxed geometry, computed with PBE. Values from VASP.

Cell and atoms, written as Quantum ESPRESSO input:
```
&SYSTEM
  ibrav = 0, nat = 6, ntyp = 2
/
ATOMIC_SPECIES
Zr 91.22 Zr.upf
As 74.92 As.upf
ATOMIC_POSITIONS crystal
Zr 0.325 0.325 0.971
Zr 0.936 0.936 0.587
Zr 0.588 0.588 0.244
Zr 0.661 0.661 0.692
As 0.037 0.037 0.961
As 0.285 0.285 0.377
CELL_PARAMETERS angstrom
2.319 -1.231 -4.626
3.721 -3.238 -1.989
-4.195 -5.215 -1.739
```



21.
Crystalline Zr2As at its relaxed geometry, computed with PBE. Values from VASP.

Cell and atoms, written as Quantum ESPRESSO input:
```
&SYSTEM
  ibrav = 0, nat = 6, ntyp = 2
/
ATOMIC_SPECIES
Zr 91.22 Zr.upf
As 74.92 As.upf
ATOMIC_POSITIONS crystal
Zr 0.700 0.700 0.300
Zr 0.000 0.000 0.257
Zr 0.000 0.000 0.743
Zr 0.300 0.300 0.700
As 0.362 0.362 0.139
As 0.638 0.638 0.861
CELL_PARAMETERS angstrom
1.806 6.808 0.004
-1.806 6.808 0.004
0.000 2.223 5.034
```



22.
Crystalline ZrAs5 at its relaxed geometry, computed with PBE. Values from VASP.

Cell and atoms, written as Quantum ESPRESSO input:
```
&SYSTEM
  ibrav = 0, nat = 6, ntyp = 2
/
ATOMIC_SPECIES
As 74.92 As.upf
Zr 91.22 Zr.upf
ATOMIC_POSITIONS crystal
As 0.742 0.258 0.500
As 0.471 0.529 0.500
As 0.983 0.017 0.000
As 0.375 0.625 0.000
As 0.655 0.345 0.000
Zr 0.107 0.893 0.500
CELL_PARAMETERS angstrom
2.006 -7.551 0.000
2.006 7.551 0.000
0.000 0.000 4.383
```



23.
Crystalline Zr2As at its relaxed geometry, computed with PBE. Values from VASP.

Cell and atoms, written as Quantum ESPRESSO input:
```
&SYSTEM
  ibrav = 0, nat = 12, ntyp = 2
/
ATOMIC_SPECIES
Zr 91.22 Zr.upf
As 74.92 As.upf
ATOMIC_POSITIONS crystal
Zr 0.661 0.831 0.750
Zr 0.339 0.169 0.250
Zr 0.831 0.169 0.250
Zr 0.169 0.339 0.750
Zr 0.000 0.000 0.000
Zr 0.169 0.831 0.750
Zr 0.831 0.661 0.250
Zr 0.000 0.000 0.500
As 0.667 0.333 0.938
As 0.333 0.667 0.062
As 0.667 0.333 0.562
As 0.333 0.667 0.438
CELL_PARAMETERS angstrom
5.685 0.000 0.000
-2.842 4.923 0.000
0.000 0.000 9.323
```



24.
Crystalline Zr5As at its relaxed geometry, computed with PBE. Values from VASP.

Cell and atoms, written as Quantum ESPRESSO input:
```
&SYSTEM
  ibrav = 0, nat = 6, ntyp = 2
/
ATOMIC_SPECIES
Zr 91.22 Zr.upf
As 74.92 As.upf
ATOMIC_POSITIONS crystal
Zr 0.000 0.687 0.000
Zr 0.687 0.000 0.000
Zr 0.667 0.333 0.500
Zr 0.333 0.667 0.500
Zr 0.313 0.313 0.000
As 0.000 0.000 0.500
CELL_PARAMETERS angstrom
2.737 -4.741 0.000
2.737 4.741 0.000
0.000 0.000 5.013
```



25.
Crystalline ZrAs5 at its relaxed geometry, computed with PBE. Values from VASP.

Cell and atoms, written as Quantum ESPRESSO input:
```
&SYSTEM
  ibrav = 0, nat = 6, ntyp = 2
/
ATOMIC_SPECIES
As 74.92 As.upf
Zr 91.22 Zr.upf
ATOMIC_POSITIONS crystal
As 0.624 0.624 0.127
As 0.624 0.127 0.624
As 0.624 0.624 0.624
As 0.250 0.250 0.250
As 0.127 0.624 0.624
Zr 0.000 0.000 0.000
CELL_PARAMETERS angstrom
0.000 3.900 3.900
3.900 0.000 3.900
3.900 3.900 0.000
```



26.
Crystalline ZrAs3 at its relaxed geometry, computed with PBE. Values from VASP.

Cell and atoms, written as Quantum ESPRESSO input:
```
&SYSTEM
  ibrav = 0, nat = 4, ntyp = 2
/
ATOMIC_SPECIES
As 74.92 As.upf
Zr 91.22 Zr.upf
ATOMIC_POSITIONS crystal
As 0.000 0.607 0.478
As 0.000 0.893 0.022
As 0.500 0.750 0.750
Zr 0.500 0.250 0.250
CELL_PARAMETERS angstrom
3.550 0.000 0.000
0.000 3.732 0.027
0.000 2.410 5.953
```



Computed energy of formation from the pure elements, in the same sequence as the records: -241 -223 472 -536 -506 74 7 -236 35 -258 -844 32 -524 -629 -171 -893 -325 315 -691 -744 -829 -139 177 -198 193 -375 meV per atom.
Computed size of the total moment, in the same sequence as the records: 0.00 0.00 0.00 0.00 0.00 0.00 0.00 0.00 0.00 0.00 0.00 0.00 0.00 0.00 0.00 0.00 0.00 0.00 0.00 0.00 0.00 0.00 0.00 0.00 0.00 0.00 μB per cell.